Density functional theory data (PBE-GGA) for an optimized crystal structure of Ba4NaIn.

Geometry as POSCAR:
```
Ba4NaIn
1.0
7.845 -2.207 0.000
7.845 2.207 0.000
-2.769 0.000 8.792
Ba Na In
4 1 1
direct
0.134 0.134 0.340
0.141 0.141 0.797
0.859 0.859 0.203
0.866 0.866 0.660
0.500 0.500 0.000
0.500 0.500 0.500
```

Results
Energy above the most stable polymorph in this dataset (meV/atom): 0
Symmetry: C2/m, No. 12
Formation enthalpy at 0 K (eV per atom): -0.159


Density functional theory data (PBE-GGA) for an optimized crystal structure of Ta2AlW.

Geometry as POSCAR:
```
Ta2AlW
1.0
-3.687 3.687 2.754
3.687 -3.687 2.754
3.687 3.687 -2.754
Ta Al W
4 2 2
direct
0.107 0.625 0.982
0.375 0.357 0.482
0.643 0.125 0.018
0.875 0.893 0.518
0.250 0.750 0.500
0.500 0.500 0.000
0.000 0.000 0.000
0.750 0.250 0.500
```

Results
Symmetry: I-42d, No. 122
Formation enthalpy at 0 K (eV per atom): 0.735


Density functional theory data (PBE-GGA) for an optimized crystal structure of Al2RhAu.

Geometry as POSCAR:
```
Al2RhAu
1.0
2.017 1.164 4.726
-2.017 1.164 4.726
0.000 -2.329 4.726
Al Rh Au
2 1 1
direct
0.000 0.000 0.000
0.201 0.201 0.201
0.620 0.620 0.620
0.424 0.424 0.424
```

Results
Energy above the most stable polymorph in this dataset (meV/atom): 139
Symmetry: R3m, No. 160
Formation enthalpy at 0 K (eV per atom): -0.540


Density functional theory data (PBE-GGA) for an optimized crystal structure of YReAg2.

Geometry as POSCAR:
```
YReAg2
1.0
3.618 0.000 0.000
0.000 3.618 0.000
0.000 0.000 5.945
Y Re Ag
1 1 2
direct
0.000 0.000 0.000
0.000 0.000 0.500
0.500 0.500 0.273
0.500 0.500 0.727
```

Results
Energy above the most stable polymorph in this dataset (meV/atom): 143
Symmetry: P4/mmm, No. 123
Formation enthalpy at 0 K (eV per atom): 0.527


Density functional theory data (PBE-GGA) for an optimized crystal structure of Sr2CaPdI.

Geometry as POSCAR:
```
Sr2CaPdI
1.0
6.067 0.000 0.000
0.000 6.067 0.000
0.000 0.000 5.570
Sr Ca Pd I
2 1 1 1
direct
0.000 0.500 0.000
0.500 0.000 0.000
0.000 0.000 0.500
0.000 0.000 0.000
0.500 0.500 0.500
```

Results
Formation energy without anion corrections (eV/atom): -0.593
Symmetry: P4/mmm, No. 123


Density functional theory data (PBE-GGA) for an optimized crystal structure of Tb5Nd4Ag.

Geometry as POSCAR:
```
Tb5Nd4Ag
1.0
3.622 0.000 0.000
0.000 3.622 0.000
0.000 0.000 24.241
Tb Nd Ag
5 4 1
direct
0.000 0.000 0.000
0.000 0.000 0.211
0.000 0.000 0.423
0.000 0.000 0.577
0.000 0.000 0.789
0.500 0.500 0.105
0.500 0.500 0.316
0.500 0.500 0.684
0.500 0.500 0.895
0.500 0.500 0.500
```

Results
Symmetry: P4/mmm, No. 123
Formation enthalpy at 0 K (eV per atom): -0.044


Density functional theory data (PBE-GGA) for an optimized crystal structure of SrHoSc4Se8.

Geometry as POSCAR:
```
SrHoSc4Se8
1.0
4.081 2.356 6.832
-4.081 2.356 6.832
0.000 -4.712 6.832
Sr Ho Sc Se
1 1 4 8
direct
0.000 0.000 0.000
0.368 0.368 0.368
0.369 0.369 0.873
0.369 0.873 0.369
0.743 0.743 0.743
0.873 0.369 0.369
0.128 0.128 0.574
0.128 0.574 0.128
0.137 0.617 0.617
0.139 0.139 0.139
0.574 0.128 0.128
0.613 0.613 0.613
0.617 0.137 0.617
0.617 0.617 0.137
```

Results
Formation energy without anion corrections (eV/atom): -1.659
Symmetry: R3m, No. 160


Density functional theory data (PBE-GGA) for an optimized crystal structure of SiRh3Pb.

Geometry as POSCAR:
```
SiRh3Pb
1.0
4.942 0.000 0.000
0.000 4.942 0.000
0.000 0.000 4.942
Si Rh Pb
1 3 1
direct
0.000 0.000 0.000
0.000 0.500 0.500
0.500 0.000 0.500
0.500 0.500 0.000
0.500 0.500 0.500
```

Results
Energy above the most stable polymorph in this dataset (meV/atom): 1570
Formation energy without anion corrections (eV/atom): 1.612
Symmetry: Pm-3m, No. 221


Density functional theory data (PBE-GGA) for an optimized crystal structure of U5Ti2S12.

Geometry as POSCAR:
```
U5Ti2S12
1.0
7.613 -3.438 0.000
7.613 3.438 0.000
-2.432 0.000 8.124
U Ti S
5 2 12
direct
0.000 0.000 0.000
0.305 0.305 0.154
0.316 0.316 0.656
0.684 0.684 0.344
0.695 0.695 0.846
0.267 0.733 0.500
0.733 0.267 0.500
0.002 0.002 0.307
0.080 0.585 0.413
0.096 0.600 0.928
0.400 0.904 0.072
0.415 0.920 0.587
0.496 0.496 0.277
0.504 0.504 0.723
0.585 0.080 0.413
0.600 0.096 0.928
0.904 0.400 0.072
0.920 0.415 0.587
0.998 0.998 0.693
```

Results
Formation energy without anion corrections (eV/atom): -1.367
Symmetry: C2/m, No. 12


Density functional theory data (PBE-GGA) for an optimized crystal structure of LaMgP2Au.

Geometry as POSCAR:
```
LaMgP2Au
1.0
4.939 0.000 0.000
0.000 4.939 0.000
0.000 0.000 5.544
La Mg P Au
1 1 2 1
direct
0.000 0.000 0.000
0.500 0.500 0.000
0.000 0.500 0.500
0.500 0.000 0.500
0.000 0.000 0.500
```

Results
Symmetry: P4/mmm, No. 123
Formation enthalpy at 0 K (eV per atom): 0.329


Density functional theory data (PBE-GGA) for an optimized crystal structure of PmIn2Ag.

Geometry as POSCAR:
```
PmIn2Ag
1.0
2.394 -5.587 0.000
2.394 5.587 0.000
0.000 0.000 7.296
Pm In Ag
2 4 2
direct
0.087 0.913 0.750
0.913 0.087 0.250
0.372 0.628 0.547
0.372 0.628 0.953
0.628 0.372 0.047
0.628 0.372 0.453
0.200 0.800 0.250
0.800 0.200 0.750
```

Results
Energy above the most stable polymorph in this dataset (meV/atom): 24
Symmetry: Cmcm, No. 63
Formation enthalpy at 0 K (eV per atom): -0.379


Density functional theory data (PBE-GGA) for an optimized crystal structure of Tb2InO2.

Geometry as POSCAR:
```
Tb2InO2
1.0
-1.933 1.933 7.116
1.933 -1.933 7.116
1.933 1.933 -7.116
Tb In O
2 1 2
direct
0.170 0.170 0.000
0.830 0.830 0.000
0.500 0.500 0.000
0.250 0.750 0.500
0.750 0.250 0.500
```

Results
Formation energy without anion corrections (eV/atom): -2.450
Symmetry: I4/mmm, No. 139


Number 1: mass density 3.75 g/cm³, D(E_F) 5.5 states/eV/cell, raw total energy -2.117 eV per atom. Number 2: mass density 12.70 g/cm³, D(E_F) 7.2 states/eV/cell, raw total energy -9.365 eV per atom. Number 3: mass density 8.82 g/cm³, D(E_F) 0.7 states/eV/cell, raw total energy -5.068 eV per atom. Number 4: mass density 10.47 g/cm³, D(E_F) 4.2 states/eV/cell, raw total energy -5.627 eV per atom. Number 5: mass density 3.63 g/cm³, D(E_F) 2.6 states/eV/cell, raw total energy -3.014 eV per atom. Number 6: mass density 7.72 g/cm³, D(E_F) 12.5 states/eV/cell, raw total energy -4.551 eV per atom. Number 7: mass density 4.48 g/cm³, D(E_F) 6.7 states/eV/cell, raw total energy -5.906 eV per atom. Number 8: mass density 7.48 g/cm³, D(E_F) 9.0 states/eV/cell, raw total energy -4.625 eV per atom. Number 9: mass density 6.52 g/cm³, D(E_F) 41.8 states/eV/cell, raw total energy -7.775 eV per atom. Number 10: mass density 5.18 g/cm³, D(E_F) 3.5 states/eV/cell, raw total energy -3.794 eV per atom. Number 11: mass density 8.21 g/cm³, D(E_F) 3.7 states/eV/cell, raw total energy -3.649 eV per atom. Number 12: mass density 7.26 g/cm³, D(E_F) 3.6 states/eV/cell, raw total energy -6.833 eV per atom.